(1)
Entry from Alexandria: a geometry-optimized Ti4AlN3 structure (GGA-PBEsol).

Cell: 2.9663 2.9663 23.2783 Å, 90.00 90.00 120.00°
Closest atoms and distances in Å follow each position.
Sites, in units of the cell vectors:
Ti: 0.0000 0.0000 0.1541  3 N 2.05
Ti: 0.0000 0.0000 0.3459  3 N 2.05
Ti: 0.0000 0.0000 0.6541  3 N 2.05
Ti: 0.0000 0.0000 0.8459  3 N 2.05
Ti: 0.3333 0.6667 0.0537  6 N 2.10-2.12
Ti: 0.3333 0.6667 0.4463  6 N 2.10-2.12
Ti: 0.6667 0.3333 0.5537  6 N 2.10-2.12
Ti: 0.6667 0.3333 0.9463  6 N 2.10-2.12
Al: 0.3333 0.6667 0.2500  6 Ti 2.81, 6 Al 2.97
Al: 0.6667 0.3333 0.7500  6 Ti 2.81, 6 Al 2.97
N: 0.0000 0.0000 0.0000  6 Ti 2.12
N: 0.0000 0.0000 0.5000  6 Ti 2.12
N: 0.3333 0.6667 0.6056  6 Ti 2.05-2.10
N: 0.3333 0.6667 0.8944  6 Ti 2.05-2.10
N: 0.6667 0.3333 0.1056  6 Ti 2.05-2.10
N: 0.6667 0.3333 0.3944  6 Ti 2.05-2.10

Uncorrected formation energy = -1.638 eV per atom
Space group = P6_3/mmc

(2)
Entry from Alexandria: a geometry-optimized SiWBr structure (GGA-PBEsol).

Cell: 2.8864 3.9906 8.3929 Å, 90.00 90.00 90.00°
Closest atoms and distances in Å follow each position.
Sites, in units of the cell vectors:
Si: 0.0000 0.0000 0.0000  5 Br 2.67-2.90, 5 W 2.76-2.96, 2 Si 2.89
Si: 0.5000 0.5000 0.5000  5 Br 2.67-2.90, 5 W 2.76-2.96, 2 Si 2.89
W: 0.0000 0.0000 0.3521  5 Si 2.76-2.96, 5 Br 2.77-2.85, 2 W 2.89
W: 0.5000 0.5000 0.8521  5 Si 2.76-2.96, 5 Br 2.77-2.85, 2 W 2.89
Br: 0.0000 0.0000 0.6816  5 Si 2.67-2.90, 5 W 2.77-2.85, 2 Br 2.89
Br: 0.5000 0.5000 0.1816  5 Si 2.67-2.90, 5 W 2.77-2.85, 2 Br 2.89

Uncorrected formation energy = 0.836 eV per atom
Space group = Imm2

(3)
Entry from Alexandria: a geometry-optimized LaZnW2 structure (GGA-PBEsol).

Cell: 2.6879 5.1977 10.6022 Å, 90.00 90.00 90.00°
Closest atoms and distances in Å follow each position.
Sites, in units of the cell vectors:
La: 0.0000 0.0000 0.0000  2 La 2.69, 4 Zn 2.93
La: 0.5000 0.5000 0.5000  2 La 2.69, 4 Zn 2.93
Zn: 0.0000 0.0000 0.5000  2 Zn 2.69, 4 W 2.73, 4 La 2.93
Zn: 0.5000 0.5000 0.0000  2 Zn 2.69, 4 W 2.73, 4 La 2.93
W: 0.0000 0.5000 0.2243  6 W 2.69-2.98, 2 Zn 2.73
W: 0.0000 0.5000 0.7757  6 W 2.69-2.98, 2 Zn 2.73
W: 0.5000 0.0000 0.2757  6 W 2.69-2.98, 2 Zn 2.73
W: 0.5000 0.0000 0.7243  6 W 2.69-2.98, 2 Zn 2.73

Space group = Immm
E_form = 0.65 eV/atom

(4)
Entry from Alexandria: a geometry-optimized LaZr2Mo structure (GGA-PBEsol).

Cell: 3.3590 5.2749 10.0284 Å, 90.00 90.00 90.00°
Closest atoms and distances in Å follow each position.
Sites, in units of the cell vectors:
La: 0.0000 0.0000 0.0000  6 La 3.13-3.36, 4 Zr 3.40
La: 0.5000 0.5000 0.0000  6 La 3.13-3.36, 4 Zr 3.40
Zr: 0.0000 0.5000 0.2948  2 Mo 2.66
Zr: 0.0000 0.5000 0.7052  2 Mo 2.66
Zr: 0.5000 0.0000 0.2948  2 Mo 2.66
Zr: 0.5000 0.0000 0.7052  2 Mo 2.66
Mo: 0.0000 0.0000 0.5000  4 Zr 2.66
Mo: 0.5000 0.5000 0.5000  4 Zr 2.66

Space group = Cmmm
E_form = 0.18 eV/atom

Number 1: mass density 4.88 Mg/m³. Number 2: mass density 10.03 Mg/m³. Number 3: mass density 12.82 Mg/m³. Number 4: mass density 7.80 Mg/m³.